[1]
Below is an optimized crystal structure of AgBOF2, with properties calculated at the GGA-PBE level.

a b c (Å): 4.254 4.254 4.043
angles (deg): 90.00 90.00 90.00
Element x y z (fractional)
Ag 0.000 0.000 0.000
B 0.500 0.500 0.500
O 0.000 0.000 0.500
F 0.000 0.500 0.000
F 0.500 0.000 0.000

Computed properties:
VASP energy, eV/atom: -3.2413
Energy relative to the elements, uncorrected, meV per atom: 405
Energy above the lowest structure with this stoichiometry, eV per atom: 1.735
Total magnetic moment, μB/cell: 0.00
Symmetry: P4/mmm, No. 123

---

[2]
Below is an optimized crystal structure of AgBPF2, with properties calculated at the GGA-PBE level.

a b c (Å): 3.788 3.788 5.235
angles (deg): 90.00 90.00 90.00
Element x y z (fractional)
Ag 0.000 0.000 0.000
B 0.500 0.500 0.000
P 0.000 0.000 0.500
F 0.000 0.500 0.500
F 0.500 0.000 0.500

Computed properties:
VASP energy, eV/atom: -3.7047
Energy relative to the elements, uncorrected, meV per atom: 32
Total magnetic moment, μB/cell: 0.00
Symmetry: P4/mmm, No. 123

---

[3]
Below is an optimized crystal structure of Ag2BPbF8, with properties calculated at the GGA-PBE level.

a b c (Å): 5.190 5.190 6.713
angles (deg): 90.00 90.00 120.00
Element x y z (fractional)
Ag 0.333 0.667 0.357
Ag 0.667 0.333 0.643
B 0.000 0.000 0.500
Pb 0.000 0.000 0.000
F 0.147 0.294 0.643
F 0.147 0.853 0.643
F 0.294 0.147 0.357
F 0.333 0.667 0.041
F 0.667 0.333 0.959
F 0.706 0.853 0.643
F 0.853 0.147 0.357
F 0.853 0.706 0.357

Computed properties:
VASP energy, eV/atom: -4.2749
Energy relative to the elements, uncorrected, meV per atom: -1687
Total magnetic moment, μB/cell: 1.02
Symmetry: P-3m1, No. 164

---

[4]
Below is an optimized crystal structure of AgBPbF2, with properties calculated at the GGA-PBE level.

a b c (Å): 4.527 4.527 5.838
angles (deg): 90.00 90.00 90.00
Element x y z (fractional)
Ag 0.000 0.000 0.000
B 0.500 0.500 0.000
Pb 0.000 0.000 0.500
F 0.000 0.500 0.500
F 0.500 0.000 0.500

Computed properties:
VASP energy, eV/atom: -3.4151
Energy relative to the elements, uncorrected, meV per atom: -19
Total magnetic moment, μB/cell: 0.00
Symmetry: P4/mmm, No. 123

---

[5]
Below is an optimized crystal structure of RbAgBF6, with properties calculated at the GGA-PBE level.

a b c (Å): 5.497 5.513 6.095
angles (deg): 93.14 94.46 118.92
Element x y z (fractional)
Rb 0.000 0.000 0.000
Ag 0.725 0.284 0.497
B 0.399 0.608 0.493
F 0.163 0.554 0.344
F 0.330 0.366 0.603
F 0.474 0.840 0.650
F 0.544 0.101 0.188
F 0.632 0.665 0.377
F 0.908 0.468 0.805

Computed properties:
VASP energy, eV/atom: -4.6923
Energy relative to the elements, uncorrected, meV per atom: -2279
Total magnetic moment, μB/cell: 0.98
Symmetry: P1, No. 1

---

[6]
Below is an optimized crystal structure of Rb2AgBF6, with properties calculated at the GGA-PBE level.

a b c (Å): 5.279 5.715 7.056
angles (deg): 68.22 70.22 89.85
Element x y z (fractional)
Rb 0.000 0.000 0.000
Rb 0.481 0.454 0.076
Ag 0.238 0.725 0.540
B 0.693 0.190 0.568
F 0.078 0.555 0.889
F 0.415 0.897 0.190
F 0.427 0.214 0.560
F 0.705 0.933 0.689
F 0.747 0.342 0.673
F 0.884 0.271 0.351

Computed properties:
VASP energy, eV/atom: -4.7994
Energy relative to the elements, uncorrected, meV per atom: -2530
Energy above the lowest structure with this stoichiometry, eV per atom: 0.000
Total magnetic moment, μB/cell: 0.00
Symmetry: P1, No. 1

---

[7]
Below is an optimized crystal structure of Rb2AgBF6, with properties calculated at the GGA-PBE level.

a b c (Å): 5.937 5.937 5.937
angles (deg): 120.38 120.38 89.34
Element x y z (fractional)
Rb 0.250 0.750 0.500
Rb 0.750 0.250 0.500
Ag 0.000 0.000 0.000
B 0.500 0.500 0.000
F 0.290 0.290 0.580
F 0.290 0.710 0.000
F 0.321 0.321 0.000
F 0.679 0.679 0.000
F 0.710 0.290 0.000
F 0.710 0.710 0.420

Computed properties:
VASP energy, eV/atom: -4.4771
Energy relative to the elements, uncorrected, meV per atom: -2208
Energy above the lowest structure with this stoichiometry, eV per atom: 0.322
Total magnetic moment, μB/cell: 0.00
Symmetry: I4/mmm, No. 139

---

[8]
Below is an optimized crystal structure of ScAgBF2, with properties calculated at the GGA-PBE level.

a b c (Å): 4.053 4.053 4.360
angles (deg): 90.00 90.00 90.00
Element x y z (fractional)
Sc 0.000 0.000 0.000
Ag 0.500 0.500 0.000
B 0.500 0.500 0.500
F 0.000 0.500 0.500
F 0.500 0.000 0.500

Computed properties:
VASP energy, eV/atom: -4.3954
Energy relative to the elements, uncorrected, meV per atom: -475
Total magnetic moment, μB/cell: 0.00
Symmetry: P4/mmm, No. 123

---

[9]
Below is an optimized crystal structure of SrAgB2F8, with properties calculated at the GGA-PBE level.

a b c (Å): 5.328 5.328 9.470
angles (deg): 90.00 90.00 120.00
Element x y z (fractional)
Sr 0.000 0.000 0.000
Ag 0.000 0.000 0.500
B 0.333 0.667 0.149
B 0.667 0.333 0.851
F 0.188 0.376 0.194
F 0.188 0.812 0.194
F 0.333 0.667 0.996
F 0.376 0.188 0.806
F 0.624 0.812 0.194
F 0.667 0.333 0.004
F 0.812 0.188 0.806
F 0.812 0.624 0.806

Computed properties:
VASP energy, eV/atom: -5.4634
Energy relative to the elements, uncorrected, meV per atom: -2725
Total magnetic moment, μB/cell: 0.00
Symmetry: P-3m1, No. 164

---

[10]
Below is an optimized crystal structure of TaAgB2F, with properties calculated at the GGA-PBE level.

a b c (Å): 4.380 4.380 4.037
angles (deg): 90.00 90.00 90.00
Element x y z (fractional)
Ta 0.000 0.000 0.000
Ag 0.500 0.500 0.500
B 0.000 0.500 0.000
B 0.500 0.000 0.000
F 0.000 0.000 0.500

Computed properties:
VASP energy, eV/atom: -5.5485
Energy relative to the elements, uncorrected, meV per atom: 438
Total magnetic moment, μB/cell: 0.00
Symmetry: P4/mmm, No. 123

---

[11]
Below is an optimized crystal structure of TlAgB2F8, with properties calculated at the GGA-PBE level.

a b c (Å): 8.403 8.403 8.403
angles (deg): 36.41 36.41 36.41
Element x y z (fractional)
Tl 0.000 0.000 0.000
Ag 0.500 0.500 0.500
B 0.249 0.249 0.249
B 0.751 0.751 0.751
F 0.013 0.794 0.504
F 0.206 0.496 0.987
F 0.310 0.310 0.310
F 0.496 0.987 0.206
F 0.504 0.013 0.794
F 0.690 0.690 0.690
F 0.794 0.504 0.013
F 0.987 0.206 0.496

Computed properties:
VASP energy, eV/atom: -5.2650
Energy relative to the elements, uncorrected, meV per atom: -2470
Total magnetic moment, μB/cell: 0.13
Symmetry: R-3, No. 148